Entry 1:
The following is a PBE calculation of an optimized crystal structure of Pu2MnIr3, from Alexandria via LeMat-Bulk.

Computed properties:
- Fermi-level density of states: 17.228 states/eV per cell
- Calculated formation energy: -277 kJ/mol of formula units
- Magnetization: 12.400 μB per formula unit

Unit cell a=5.4979 b=5.4979 c=5.1545 alpha=90.03 beta=122.20 gamma=120.00
Closest atoms and distances in Å follow each position.
Atoms (fractional coordinates):
1 Mn 0.0000 0.0000 0.0000  6 Ir 2.58
2 Ir 0.5000 0.0000 0.5000  2 Mn 2.58, 4 Ir 2.75
3 Ir 0.5000 0.5000 0.5000  2 Mn 2.58, 4 Ir 2.75
4 Ir 0.0000 0.0000 0.5000  2 Mn 2.58, 4 Ir 2.75
5 Pu 0.2449 0.6228 0.8677  1 Pu 2.99, 9 Ir 3.02-3.13, 3 Mn 3.22
6 Pu 0.7551 0.3772 0.1323  1 Pu 2.99, 9 Ir 3.02-3.13, 3 Mn 3.22

---

Entry 2:
The following is a PBE calculation of an optimized crystal structure of PuMnIr, from Alexandria via LeMat-Bulk.

Computed properties:
- Fermi-level density of states: 10.586 states/eV per cell
- Calculated formation energy: 8 kJ/mol of formula units
- Magnetization: 7.668 μB per formula unit

Unit cell a=3.6573 b=4.2508 c=4.2508 alpha=120.00 beta=90.00 gamma=90.00
Closest atoms and distances in Å follow each position.
Atoms (fractional coordinates):
1 Ir 0.1675 0.3333 0.6667  3 Mn 2.45
2 Mn 0.1658 0.0000 0.0000  3 Ir 2.45
3 Pu 0.6668 0.6667 0.3333  6 Mn 3.06, 6 Ir 3.06

---

Entry 3:
The following is a PBE calculation of an optimized crystal structure of PuMnSi2Ir, from Alexandria via LeMat-Bulk.

Computed properties:
- Fermi-level density of states: 10.275 states/eV per cell
- Magnetization: 7.857 μB per formula unit
- Raw total energy: -9.312 eV per atom

Unit cell a=3.9661 b=3.9661 c=5.9089 alpha=109.61 beta=109.61 gamma=90.00
Closest atoms and distances in Å follow each position.
Atoms (fractional coordinates):
1 Si 0.6167 0.6167 0.2333  2 Mn 2.42, 2 Ir 2.42, 1 Si 2.43
2 Si 0.3833 0.3833 0.7667  2 Ir 2.42, 2 Mn 2.42, 1 Si 2.43
3 Pu 0.0000 0.0000 0.0000  8 Si 3.06, 4 Mn 3.27, 4 Ir 3.27
4 Ir 0.7500 0.2500 0.5000  4 Si 2.42
5 Mn 0.2500 0.7500 0.5000  4 Si 2.42

---

Entry 4:
The following is a PBE calculation of an optimized crystal structure of TbPuMnIr, from Alexandria via LeMat-Bulk.

Computed properties:
- Fermi-level density of states: 4.952 states/eV per cell
- Calculated formation energy: -104 kJ/mol of formula units
- Magnetization: 2.351 μB per formula unit

Unit cell a=4.8490 b=4.8490 c=4.8490 alpha=60.00 beta=60.00 gamma=60.00
Closest atoms and distances in Å follow each position.
Atoms (fractional coordinates):
1 Pu 0.5000 0.5000 0.5000  4 Mn 2.97, 4 Ir 2.97
2 Mn 0.7500 0.7500 0.7500  4 Tb 2.97, 4 Pu 2.97
3 Tb 0.0000 0.0000 0.0000  4 Ir 2.97, 4 Mn 2.97
4 Ir 0.2500 0.2500 0.2500  4 Pu 2.97, 4 Tb 2.97

---

Entry 5:
The following is a PBE calculation of an optimized crystal structure of PuUMnIr, from Alexandria via LeMat-Bulk.

Computed properties:
- Fermi-level density of states: 7.030 states/eV per cell
- Calculated formation energy: -46 kJ/mol of formula units
- Magnetization: 5.036 μB per formula unit
- Energy relative to the lowest polymorph listed for this composition: 223 meV/atom

Unit cell a=4.7897 b=4.7897 c=4.7897 alpha=60.00 beta=60.00 gamma=60.00
Closest atoms and distances in Å follow each position.
Atoms (fractional coordinates):
1 Mn 0.0000 0.0000 0.0000  4 Pu 2.93, 4 U 2.93
2 Pu 0.7500 0.7500 0.7500  4 Mn 2.93, 4 Ir 2.93
3 Ir 0.5000 0.5000 0.5000  4 U 2.93, 4 Pu 2.93
4 U 0.2500 0.2500 0.2500  4 Mn 2.93, 4 Ir 2.93

---

Entry 6:
The following is a PBE calculation of an optimized crystal structure of PuUMnIr, from Alexandria via LeMat-Bulk.

Computed properties:
- Fermi-level density of states: 5.615 states/eV per cell
- Calculated formation energy: -132 kJ/mol of formula units
- Magnetization: 2.372 μB per formula unit
- Energy relative to the lowest polymorph listed for this composition: 0 meV/atom

Unit cell a=4.6095 b=4.6095 c=4.6095 alpha=60.00 beta=60.00 gamma=60.00
Closest atoms and distances in Å follow each position.
Atoms (fractional coordinates):
1 Mn 0.7500 0.7500 0.7500  4 Ir 2.82, 4 Pu 2.82
2 Pu 0.5000 0.5000 0.5000  4 Mn 2.82, 4 U 2.82
3 U 0.2500 0.2500 0.2500  4 Ir 2.82, 4 Pu 2.82
4 Ir 0.0000 0.0000 0.0000  4 U 2.82, 4 Mn 2.82

---

The lowest magnetization belongs to which entry? TbPuMnIr

---

Look up the Fermi-level density of states of the second one. 10.586 states/eV per cell

---

Fermi-level density of states of number 4 (TbPuMnIr)? 4.952 states/eV per cell